1.
PuNpPd after structural relaxation, computed with PBE.

Results
Energy relative to the elements in meV per atom: 213
Total moment in μB per formula unit: 7.0

Cell lengths 6.243, 6.243, 6.243 Å; angles 90.00, 90.00, 90.00 degrees
Space group F-43m (No. 216)
Inequivalent atoms, fractional coordinates:
Pu  0.000  0.000  0.000 [4 per cell]
Np  0.250  0.250  0.250 [4 per cell]
Pd  0.250  0.250  0.750 [4 per cell]

***

2.
HfTcAs2 after structural relaxation, computed with PBE.

Results
Total energy in eV per atom: -7.449
Total moment in μB per formula unit: 0.0

Cell lengths 6.496, 6.496, 6.496 Å; angles 90.00, 90.00, 90.00 degrees
Space group F-43m (No. 216)
Inequivalent atoms, fractional coordinates:
Hf  0.000  0.000  0.000 [4 per cell]
Tc  0.250  0.250  0.750 [4 per cell]
As  0.000  0.000  0.500 [4 per cell]
As  0.250  0.250  0.250 [4 per cell]

***

3.
CsCoTe3Au after structural relaxation, computed with PBE.

Results
Total energy in eV per atom: -3.671
Total moment in μB per formula unit: 0.1

Cell lengths 3.917, 17.526, 10.904 Å; angles 90.00, 90.00, 90.00 degrees
Space group Cmcm (No. 63)
Inequivalent atoms, fractional coordinates:
Cs  0.000  0.250  0.250 [4 per cell]
Co  0.000  0.000  0.000 [4 per cell]
Te  0.000  0.047  0.750 [4 per cell]
Te  0.000  0.403  0.509 [8 per cell]
Au  0.000  0.423  0.750 [4 per cell]

***

4.
SbPdPb after structural relaxation, computed with PBE.

Results
Total energy in eV per atom: -4.217

Cell lengths 6.871, 6.871, 6.871 Å; angles 90.00, 90.00, 90.00 degrees
Space group F-43m (No. 216)
Inequivalent atoms, fractional coordinates:
Sb  0.000  0.000  0.000 [4 per cell]
Pd  0.250  0.250  0.250 [4 per cell]
Pb  0.250  0.250  0.750 [4 per cell]

***

5.
SrCdGe2Pd after structural relaxation, computed with PBE.

Results
Polymorph energy (0 for the lowest one) in meV/atom: 49.2

Cell lengths 4.457, 4.457, 10.963 Å; angles 90.00, 90.00, 90.00 degrees
Space group I-4m2 (No. 119)
Inequivalent atoms, fractional coordinates:
Sr  0.000  0.000  0.000 [2 per cell]
Cd  0.000  0.500  0.750 [2 per cell]
Ge  0.000  0.000  0.386 [4 per cell]
Pd  0.000  0.500  0.250 [2 per cell]

***

6.
Ho3Mg3TlCdAg after structural relaxation, computed with PBE.

Results
Total energy in eV per atom: -3.002
Total moment in μB per formula unit: 0.0

Cell lengths 7.6978, 7.6978, 4.3008 Å; angles 90.00, 90.00, 120.00 degrees
Space group P-6 (No. 174)
Inequivalent atoms, fractional coordinates:
Ho  0.0026  0.4105  0.0000 [3 per cell]
Mg  0.0030  0.7600  0.5000 [3 per cell]
Tl  0.6667  0.3333  0.5000 [1 per cell]
Cd  0.3333  0.6667  0.5000 [1 per cell]
Ag  0.0000  0.0000  0.0000 [1 per cell]

***

7.
InHgPO after structural relaxation, computed with PBE.

Results
Polymorph energy (0 for the lowest one) in meV/atom: 0.0

Cell lengths 4.115, 6.674, 6.330 Å; angles 90.00, 90.00, 90.00 degrees
Space group Pmc2_1 (No. 26)
Inequivalent atoms, fractional coordinates:
In  0.000  0.139  0.000 [2 per cell]
Hg  0.500  0.332  0.459 [2 per cell]
P  0.500  0.306  0.853 [2 per cell]
O  0.000  0.142  0.335 [2 per cell]

***

8.
Nd6Si4S17 after structural relaxation, computed with PBE.

Results
Total energy in eV per atom: -5.926
Total moment in μB per formula unit: 0.0

Cell lengths 8.959, 9.979, 14.264 Å; angles 81.98, 87.06, 89.25 degrees
Space group P-1 (No. 2)
Inequivalent atoms, fractional coordinates:
Nd  0.017  0.268  0.461 [2 per cell]
Nd  0.085  0.581  0.165 [2 per cell]
Nd  0.106  0.885  0.816 [2 per cell]
Nd  0.332  0.911  0.342 [2 per cell]
Nd  0.368  0.564  0.677 [2 per cell]
Nd  0.449  0.239  0.001 [2 per cell]
Si  0.231  0.938  0.099 [2 per cell]
Si  0.250  0.000  0.584 [2 per cell]
Si  0.250  0.560  0.923 [2 per cell]
Si  0.276  0.558  0.394 [2 per cell]
S  0.008  0.873  0.115 [2 per cell]
S  0.014  0.992  0.623 [2 per cell]
S  0.039  0.649  0.952 [2 per cell]
S  0.067  0.643  0.722 [2 per cell]
S  0.107  0.702  0.345 [2 per cell]
S  0.184  0.480  0.533 [2 per cell]
S  0.248  0.115  0.168 [2 per cell]
S  0.257  0.384  0.851 [2 per cell]
S  0.298  0.806  0.541 [2 per cell]
S  0.304  0.411  0.301 [2 per cell]
S  0.307  0.134  0.460 [2 per cell]
S  0.322  0.982  0.956 [2 per cell]
S  0.341  0.501  0.057 [2 per cell]
S  0.356  0.031  0.707 [2 per cell]
S  0.368  0.781  0.167 [2 per cell]
S  0.383  0.714  0.838 [2 per cell]
S  0.485  0.654  0.396 [2 per cell]

***

no.,calculated volume (A^3/atom)
1,20.3
2,17.1
3,31.2
4,27.0
5,21.8
6,24.5
7,21.7
8,23.4